(1)
Compound: KTcPd
Source: the Alexandria database
Functional: PBE
Structure: relaxed

## Properties
energy	-5.073	eV/atom
ΔH_f (0 K)	0.48	eV per atom
polymorph energy (0 for the lowest one)	235.7	meV/atom

Cell: 3.6002 3.6002 12.1168 Å, 90.00 90.00 90.00°
Space group P4/nmm (No. 129, origin choice 2)
Symmetry-distinct sites (fractional):
K 0.2500 0.2500 0.1677 [2 per cell]
Tc 0.2500 0.7500 0.5000 [2 per cell]
Pd 0.2500 0.2500 0.6673 [2 per cell]

=====

(2)
Compound: TcHPdW2
Source: the Alexandria database
Functional: PBE
Structure: relaxed

## Properties
energy	-8.867	eV/atom

Cell: 4.0111 4.0111 3.9471 Å, 90.00 90.00 90.00°
Space group P4/mmm (No. 123)
Symmetry-distinct sites (fractional):
Tc 0.0000 0.0000 0.0000 [1 per cell]
H 0.0000 0.0000 0.5000 [1 per cell]
Pd 0.5000 0.5000 0.0000 [1 per cell]
W 0.0000 0.5000 0.5000 [2 per cell]

=====

(3)
Compound: MgPb2Se
Source: the Alexandria database
Functional: PBE
Structure: relaxed

## Properties
energy	-3.334	eV/atom
formation energy from raw total energies	-0.2104	eV per atom

Cell: 4.1076 4.6325 6.2283 Å, 90.00 109.06 90.00°
Space group Pm (No. 6)
Symmetry-distinct sites (fractional):
Mg 0.0000 0.0000 0.0000 [1 per cell]
Pb 0.2554 0.0000 0.5194 [1 per cell]
Pb 0.6297 0.5000 0.2670 [1 per cell]
Se 0.8903 0.5000 0.7933 [1 per cell]

=====

(4)
Compound: Ac2TbAg6
Source: the Alexandria database
Functional: PBE
Structure: relaxed

## Properties
energy	-3.585	eV/atom
ΔH_f (0 K)	-0.26	eV per atom

Cell: 8.4211 8.4211 3.7612 Å, 90.00 90.00 120.00°
Space group P6/mmm (No. 191)
Symmetry-distinct sites (fractional):
Ac 0.3333 0.6667 0.0000 [2 per cell]
Tb 0.0000 0.0000 0.0000 [1 per cell]
Ag 0.0000 0.3283 0.5000 [6 per cell]